Record 1
# CaTaH | Alexandria via LeMat-Bulk | PBE | relaxed
# raw total energy = -5.63 eV per atom
# M_tot = 0.00 μB/f.u.
data_CaTaH
_symmetry_space_group_name_H-M 'C 1 m 1'
_symmetry_Int_Tables_number 8
_symmetry_space_group_name_Hall 'C -2y'
_cell_length_a 5.312
_cell_length_b 3.797
_cell_length_c 10.644
_cell_angle_alpha 90.00
_cell_angle_beta 91.63
_cell_angle_gamma 90.00
loop_
_atom_site_label
_atom_site_type_symbol
_atom_site_fract_x
_atom_site_fract_y
_atom_site_fract_z
Ca1 Ca 0.000 0.000 0.000
Ca2 Ca 0.000 0.500 0.320
Ta1 Ta 0.033 0.000 0.567
Ta2 Ta 0.053 0.500 0.751
H1 H 0.110 0.500 0.928
H2 H 0.415 0.000 0.565

Record 2
# Ca6SnPd5 | Alexandria via LeMat-Bulk | PBE | relaxed
# raw total energy = -4.14 eV per atom
# M_tot = 0.00 μB/f.u.
data_Ca6SnPd5
_symmetry_space_group_name_H-M 'I m m m'
_symmetry_Int_Tables_number 71
_symmetry_space_group_name_Hall '-I 2 2'
_cell_length_a 5.022
_cell_length_b 7.340
_cell_length_c 14.988
_cell_angle_alpha 90.00
_cell_angle_beta 90.00
_cell_angle_gamma 90.00
loop_
_atom_site_label
_atom_site_type_symbol
_atom_site_fract_x
_atom_site_fract_y
_atom_site_fract_z
Ca1 Ca 0.000 0.233 0.000
Ca2 Ca 0.000 0.259 0.329
Sn1 Sn 0.000 0.000 0.500
Pd1 Pd 0.000 0.000 0.170
Pd2 Pd 0.000 0.500 0.157
Pd3 Pd 0.000 0.500 0.500

Record 3
# CaReAs2 | Alexandria via LeMat-Bulk | PBE | relaxed
# raw total energy = -5.99 eV per atom
# M_tot = 0.00 μB/f.u.
data_CaReAs2
_symmetry_space_group_name_H-M 'I -4 2 d'
_symmetry_Int_Tables_number 122
_symmetry_space_group_name_Hall 'I -4 2bw'
_cell_length_a 6.299
_cell_length_b 6.299
_cell_length_c 11.357
_cell_angle_alpha 90.00
_cell_angle_beta 90.00
_cell_angle_gamma 90.00
loop_
_atom_site_label
_atom_site_type_symbol
_atom_site_fract_x
_atom_site_fract_y
_atom_site_fract_z
Ca1 Ca 0.000 0.000 0.000
Re1 Re 0.000 0.000 0.500
As1 As 0.173 0.250 0.625

Record 4
# TbEuLuHg | Alexandria via LeMat-Bulk | PBE | relaxed
# raw total energy = -4.98 eV per atom
# M_tot = 7.10 μB/f.u.
data_TbEuLuHg
_symmetry_space_group_name_H-M 'F -4 3 m'
_symmetry_Int_Tables_number 216
_symmetry_space_group_name_Hall 'F -4 2 3'
_cell_length_a 7.757
_cell_length_b 7.757
_cell_length_c 7.757
_cell_angle_alpha 90.00
_cell_angle_beta 90.00
_cell_angle_gamma 90.00
loop_
_atom_site_label
_atom_site_type_symbol
_atom_site_fract_x
_atom_site_fract_y
_atom_site_fract_z
Tb1 Tb 0.000 0.000 0.000
Eu1 Eu 0.000 0.000 0.500
Lu1 Lu 0.250 0.250 0.250
Hg1 Hg 0.250 0.250 0.750

Record 5
# NaBiRh | Alexandria via LeMat-Bulk | PBE | relaxed
# raw total energy = -4.30 eV per atom
# M_tot = 0.00 μB/f.u.
data_NaBiRh
_symmetry_space_group_name_H-M 'I 4 m m'
_symmetry_Int_Tables_number 107
_symmetry_space_group_name_Hall 'I 4 -2'
_cell_length_a 3.521
_cell_length_b 3.521
_cell_length_c 11.197
_cell_angle_alpha 90.00
_cell_angle_beta 90.00
_cell_angle_gamma 90.00
loop_
_atom_site_label
_atom_site_type_symbol
_atom_site_fract_x
_atom_site_fract_y
_atom_site_fract_z
Na1 Na 0.000 0.000 0.000
Bi1 Bi 0.000 0.000 0.712
Rh1 Rh 0.000 0.000 0.318

Record 6
# ScTi3Cr | Alexandria via LeMat-Bulk | PBE | relaxed
# raw total energy = -6.32 eV per atom
# M_tot = 0.00 μB/f.u.
data_ScTi3Cr
_symmetry_space_group_name_H-M 'P m -3 m'
_symmetry_Int_Tables_number 221
_symmetry_space_group_name_Hall '-P 4 2 3'
_cell_length_a 4.526
_cell_length_b 4.526
_cell_length_c 4.526
_cell_angle_alpha 90.00
_cell_angle_beta 90.00
_cell_angle_gamma 90.00
loop_
_atom_site_label
_atom_site_type_symbol
_atom_site_fract_x
_atom_site_fract_y
_atom_site_fract_z
Sc1 Sc 0.000 0.000 0.000
Ti1 Ti 0.000 0.000 0.500
Cr1 Cr 0.500 0.500 0.500

Record 7
# Li3ClO | Alexandria via LeMat-Bulk | PBE | relaxed
# raw total energy = -3.76 eV per atom
# formation energy (no corrections) = -1.25 eV per atom
# M_tot = 0.00 μB/f.u.
data_Li3ClO
_symmetry_space_group_name_H-M 'C m c m'
_symmetry_Int_Tables_number 63
_symmetry_space_group_name_Hall '-C 2c 2'
_cell_length_a 5.144
_cell_length_b 20.393
_cell_length_c 3.757
_cell_angle_alpha 90.00
_cell_angle_beta 90.00
_cell_angle_gamma 90.00
loop_
_atom_site_label
_atom_site_type_symbol
_atom_site_fract_x
_atom_site_fract_y
_atom_site_fract_z
Li1 Li 0.000 0.000 0.000
Li2 Li 0.217 0.283 0.250
Cl1 Cl 0.000 0.091 0.750
O1 O 0.000 0.273 0.750

Record 8
# ZrCd2Si | Alexandria via LeMat-Bulk | PBE | relaxed
# raw total energy = -3.77 eV per atom
# formation energy (no corrections) = 0.18 eV per atom
# M_tot = 0.00 μB/f.u.
data_ZrCd2Si
_symmetry_space_group_name_H-M 'P 4/m m m'
_symmetry_Int_Tables_number 123
_symmetry_space_group_name_Hall '-P 4 2'
_cell_length_a 3.055
_cell_length_b 3.055
_cell_length_c 8.870
_cell_angle_alpha 90.00
_cell_angle_beta 90.00
_cell_angle_gamma 90.00
loop_
_atom_site_label
_atom_site_type_symbol
_atom_site_fract_x
_atom_site_fract_y
_atom_site_fract_z
Zr1 Zr 0.000 0.000 0.000
Cd1 Cd 0.500 0.500 0.262
Si1 Si 0.000 0.000 0.500